(1)
# Pm2Dy3Tm4 GGA-PBE relaxed
# **E_tot**: -161.224 eV for the cell shown
data_Pm2Dy3Tm4
_chemical_formula_sum 'Pm8 Dy12 Tm16'
_cell_length_a 16.219
_cell_length_b 11.514
_cell_length_c 6.091
_cell_angle_alpha 90.00
_cell_angle_beta 96.16
_cell_angle_gamma 90.00
_symmetry_space_group_name_H-M 'C 1 2/c 1'
_symmetry_Int_Tables_number 15
loop_
_symmetry_equiv_pos_as_xyz
'x,y,z'
'-x,-y,-z'
'-x,y,-z+1/2'
'x,-y,z+1/2'
'x+1/2,y+1/2,z'
'-x+1/2,-y+1/2,-z'
'-x+1/2,y+1/2,-z+1/2'
'x+1/2,-y+1/2,z+1/2'
loop_
_atom_site_label
_atom_site_type_symbol
_atom_site_fract_x
_atom_site_fract_y
_atom_site_fract_z
_atom_site_occupancy
Pm1 Pm 0.124 0.144 0.322 1
Dy1 Dy 0.000 0.097 0.750 1
Dy2 Dy 0.164 0.403 0.599 1
Tm1 Tm 0.046 0.360 0.016 1
Tm2 Tm 0.217 0.139 0.849 1


(2)
# Pm7Sm3Tl2 GGA-PBE relaxed
# **E_tot**: -52.389 eV for the cell shown
data_Pm7Sm3Tl2
_chemical_formula_sum 'Pm7 Sm3 Tl2'
_cell_length_a 5.768
_cell_length_b 3.675
_cell_length_c 18.776
_cell_angle_alpha 90.00
_cell_angle_beta 93.66
_cell_angle_gamma 90.00
_symmetry_space_group_name_H-M 'P 1 2/m 1'
_symmetry_Int_Tables_number 10
loop_
_symmetry_equiv_pos_as_xyz
'x,y,z'
'-x,-y,-z'
'-x,y,-z'
'x,-y,z'
loop_
_atom_site_label
_atom_site_type_symbol
_atom_site_fract_x
_atom_site_fract_y
_atom_site_fract_z
_atom_site_occupancy
Pm1 Pm 0.000 0.000 0.000 1
Pm2 Pm 0.174 0.500 0.170 1
Pm3 Pm 0.258 0.500 0.536 1
Pm4 Pm 0.328 0.000 0.848 1
Sm1 Sm 0.221 0.000 0.360 1
Sm2 Sm 0.500 0.500 0.000 1
Tl1 Tl 0.294 0.500 0.704 1


(3)
# CaTe2Pt GGA-PBE relaxed
# **ΔE_f (raw)**: -0.59 eV per atom
data_CaTe2Pt
_chemical_formula_sum 'Ca1 Te2 Pt1'
_cell_length_a 3.734
_cell_length_b 3.734
_cell_length_c 8.369
_cell_angle_alpha 90.00
_cell_angle_beta 90.00
_cell_angle_gamma 90.00
_symmetry_space_group_name_H-M 'P 4 m m'
_symmetry_Int_Tables_number 99
loop_
_symmetry_equiv_pos_as_xyz
'x,y,z'
'-y,x,z'
'-x,-y,z'
'y,-x,z'
'-x,y,z'
'y,x,z'
'x,-y,z'
'-y,-x,z'
loop_
_atom_site_label
_atom_site_type_symbol
_atom_site_fract_x
_atom_site_fract_y
_atom_site_fract_z
_atom_site_occupancy
Ca1 Ca 0.000 0.000 0.000 1
Te1 Te 0.000 0.000 0.377 1
Te2 Te 0.500 0.500 0.805 1
Pt1 Pt 0.500 0.500 0.283 1


(4)
# La6Tc2Pb GGA-PBE relaxed
# **E_tot**: -222.536 eV for the cell shown
data_La6Tc2Pb
_chemical_formula_sum 'La24 Tc8 Pb4'
_cell_length_a 9.924
_cell_length_b 10.159
_cell_length_c 10.842
_cell_angle_alpha 90.00
_cell_angle_beta 90.00
_cell_angle_gamma 90.00
_symmetry_space_group_name_H-M 'I m m m'
_symmetry_Int_Tables_number 71
_symmetry_space_group_name_Hall '-I 2 2'
loop_
_atom_site_label
_atom_site_type_symbol
_atom_site_fract_x
_atom_site_fract_y
_atom_site_fract_z
_atom_site_occupancy
La1 La 0.000 0.212 0.235 1
La2 La 0.186 0.500 0.171 1
La3 La 0.215 0.312 0.500 1
Tc1 Tc 0.000 0.326 0.000 1
Tc2 Tc 0.000 0.500 0.386 1
Pb1 Pb 0.000 0.000 0.000 1
Pb2 Pb 0.000 0.000 0.500 1


(5)
# Pm2NdSm2Y GGA-PBE relaxed
# **E_tot**: -57.358 eV for the cell shown
data_Pm2NdSm2Y
_chemical_formula_sum 'Pm4 Nd2 Sm4 Y2'
_cell_length_a 6.777
_cell_length_b 17.913
_cell_length_c 3.429
_cell_angle_alpha 90.00
_cell_angle_beta 90.00
_cell_angle_gamma 90.00
_symmetry_space_group_name_H-M 'P n n m'
_symmetry_Int_Tables_number 58
loop_
_symmetry_equiv_pos_as_xyz
'x,y,z'
'-x,-y,-z'
'-x,-y,z'
'x,y,-z'
'x+1/2,-y+1/2,-z+1/2'
'-x+1/2,y+1/2,z+1/2'
'-x+1/2,y+1/2,-z+1/2'
'x+1/2,-y+1/2,z+1/2'
loop_
_atom_site_label
_atom_site_type_symbol
_atom_site_fract_x
_atom_site_fract_y
_atom_site_fract_z
_atom_site_occupancy
Pm1 Pm 0.235 0.151 0.000 1
Nd1 Nd 0.000 0.000 0.500 1
Sm1 Sm 0.240 0.320 0.500 1
Y1 Y 0.000 0.500 0.500 1


(6)
# Ti2InWI GGA-PBE relaxed
# **ΔE_f (raw)**: 1.91 eV per atom
data_Ti2InWI
_chemical_formula_sum 'Ti2 In1 W1 I1'
_cell_length_a 4.819
_cell_length_b 4.819
_cell_length_c 5.483
_cell_angle_alpha 90.00
_cell_angle_beta 90.00
_cell_angle_gamma 90.00
_symmetry_space_group_name_H-M 'P 4/m m m'
_symmetry_Int_Tables_number 123
_symmetry_space_group_name_Hall '-P 4 2'
loop_
_atom_site_label
_atom_site_type_symbol
_atom_site_fract_x
_atom_site_fract_y
_atom_site_fract_z
_atom_site_occupancy
Ti1 Ti 0.000 0.500 0.000 1
In1 In 0.000 0.000 0.500 1
W1 W 0.500 0.500 0.500 1
I1 I 0.000 0.000 0.000 1


(7)
# CoGeAuC2 GGA-PBE relaxed
# **E_tot**: -22.852 eV for the cell shown
data_CoGeAuC2
_chemical_formula_sum 'Co1 Ge1 Au1 C2'
_cell_length_a 3.915
_cell_length_b 3.915
_cell_length_c 4.616
_cell_angle_alpha 90.00
_cell_angle_beta 90.00
_cell_angle_gamma 90.00
_symmetry_space_group_name_H-M 'P 4/m m m'
_symmetry_Int_Tables_number 123
_symmetry_space_group_name_Hall '-P 4 2'
loop_
_atom_site_label
_atom_site_type_symbol
_atom_site_fract_x
_atom_site_fract_y
_atom_site_fract_z
_atom_site_occupancy
Co1 Co 0.000 0.000 0.000 1
Ge1 Ge 0.000 0.000 0.500 1
Au1 Au 0.500 0.500 0.000 1
C1 C 0.000 0.500 0.500 1


(8)
# Cr3SnS GGA-PBE relaxed
# **ΔE_f (raw)**: 1.29 eV per atom
data_Cr3SnS
_chemical_formula_sum 'Cr3 Sn1 S1'
_cell_length_a 5.082
_cell_length_b 5.082
_cell_length_c 5.082
_cell_angle_alpha 90.00
_cell_angle_beta 90.00
_cell_angle_gamma 90.00
_symmetry_space_group_name_H-M 'P m -3 m'
_symmetry_Int_Tables_number 221
_symmetry_space_group_name_Hall '-P 4 2 3'
loop_
_atom_site_label
_atom_site_type_symbol
_atom_site_fract_x
_atom_site_fract_y
_atom_site_fract_z
_atom_site_occupancy
Cr1 Cr 0.000 0.000 0.500 1
Sn1 Sn 0.000 0.000 0.000 1
S1 S 0.500 0.500 0.500 1


(9)
# BaLiO2F GGA-PBE relaxed
# **ΔE_f (raw)**: -1.93 eV per atom
data_BaLiO2F
_chemical_formula_sum 'Ba1 Li1 O2 F1'
_cell_length_a 3.972
_cell_length_b 3.972
_cell_length_c 4.318
_cell_angle_alpha 90.00
_cell_angle_beta 90.00
_cell_angle_gamma 90.00
_symmetry_space_group_name_H-M 'P 4/m m m'
_symmetry_Int_Tables_number 123
_symmetry_space_group_name_Hall '-P 4 2'
loop_
_atom_site_label
_atom_site_type_symbol
_atom_site_fract_x
_atom_site_fract_y
_atom_site_fract_z
_atom_site_occupancy
Ba1 Ba 0.000 0.000 0.000 1
Li1 Li 0.500 0.500 0.500 1
O1 O 0.000 0.500 0.500 1
F1 F 0.500 0.500 0.000 1


(10)
# La4Ce3ErS8 GGA-PBE relaxed
# **ΔE_f (raw)**: -2.09 eV per atom
data_La4Ce3ErS8
_chemical_formula_sum 'La12 Ce9 Er3 S24'
_cell_length_a 8.1330
_cell_length_b 8.1330
_cell_length_c 19.9923
_cell_angle_alpha 90.00
_cell_angle_beta 90.00
_cell_angle_gamma 120.00
_symmetry_space_group_name_H-M 'R -3 m'
_symmetry_Int_Tables_number 166
_symmetry_space_group_name_Hall '-R 3 2"'
loop_
_atom_site_label
_atom_site_type_symbol
_atom_site_fract_x
_atom_site_fract_y
_atom_site_fract_z
_atom_site_occupancy
La1 La 0.0000 0.0000 0.0000 1
La2 La 0.0000 0.5000 0.0000 1
Ce1 Ce 0.0000 0.5000 0.5000 1
Er1 Er 0.0000 0.0000 0.5000 1
S1 S 0.0000 0.0000 0.2471 1
S2 S 0.0073 0.5036 0.2453 1


(11)
# Sr2InTc GGA-PBE relaxed
# **E_tot**: -28.992 eV for the cell shown
data_Sr2InTc
_chemical_formula_sum 'Sr4 In2 Tc2'
_cell_length_a 4.903
_cell_length_b 4.903
_cell_length_c 8.924
_cell_angle_alpha 90.00
_cell_angle_beta 90.00
_cell_angle_gamma 90.00
_symmetry_space_group_name_H-M 'I -4 m 2'
_symmetry_Int_Tables_number 119
_symmetry_space_group_name_Hall 'I -4 -2'
loop_
_atom_site_label
_atom_site_type_symbol
_atom_site_fract_x
_atom_site_fract_y
_atom_site_fract_z
_atom_site_occupancy
Sr1 Sr 0.000 0.000 0.000 1
Sr2 Sr 0.000 0.500 0.250 1
In1 In 0.000 0.000 0.500 1
Tc1 Tc 0.000 0.500 0.750 1


(12)
# Hf6Al16Co7 GGA-PBE relaxed
# **E_tot**: -741.224 eV for the cell shown
data_Hf6Al16Co7
_chemical_formula_sum 'Hf24 Al64 Co28'
_cell_length_a 11.986
_cell_length_b 11.986
_cell_length_c 11.986
_cell_angle_alpha 90.00
_cell_angle_beta 90.00
_cell_angle_gamma 90.00
_symmetry_space_group_name_H-M 'F m -3 m'
_symmetry_Int_Tables_number 225
_symmetry_space_group_name_Hall '-F 4 2 3'
loop_
_atom_site_label
_atom_site_type_symbol
_atom_site_fract_x
_atom_site_fract_y
_atom_site_fract_z
_atom_site_occupancy
Hf1 Hf 0.000 0.000 0.192 1
Al1 Al 0.118 0.118 0.382 1
Al2 Al 0.165 0.165 0.165 1
Co1 Co 0.000 0.000 0.500 1
Co2 Co 0.000 0.250 0.250 1